(1)
# Tl2In3Pb5

An optimized crystal structure of Tl2In3Pb5 (PBE, the Alexandria database).

Unit cell a=11.965 b=15.959 c=6.400 alpha=90.00 beta=90.35 gamma=90.00
Space group C2/c (No. 15)
Asymmetric unit:
Tl 0.125 0.248 0.378 (multiplicity 8)
In 0.000 0.462 0.250 (multiplicity 4)
In 0.121 0.148 0.877 (multiplicity 8)
Pb 0.000 0.042 0.250 (multiplicity 4)
Pb 0.124 0.352 0.888 (multiplicity 8)
Pb 0.248 0.458 0.487 (multiplicity 8)

Properties
**Total magnetic moment**: 0.000 μB per formula unit
**Crystal system**: monoclinic
**Calculated density**: 9.7 g cm⁻³
**ΔE_f**: 26 kJ/mol of formula units


(2)
# TmMg2Au2

An optimized crystal structure of TmMg2Au2 (PBE, the Alexandria database).

Unit cell a=4.747 b=4.739 c=10.053 alpha=90.00 beta=92.43 gamma=90.00
Space group P2_1/m (No. 11)
Asymmetric unit:
Tm 0.237 0.250 0.321 (multiplicity 2)
Mg 0.257 0.250 0.671 (multiplicity 2)
Mg 0.260 0.250 0.985 (multiplicity 2)
Au 0.247 0.750 0.155 (multiplicity 2)
Au 0.249 0.750 0.512 (multiplicity 2)

Properties
**Total magnetic moment**: 0.000 μB per formula unit
**Crystal system**: monoclinic
**Calculated density**: 9.0 g cm⁻³
**ΔE_f**: -285 kJ/mol of formula units


(3)
# Tl2IBr

An optimized crystal structure of Tl2IBr (PBE, the Alexandria database).

Unit cell a=8.483 b=4.881 c=8.486 alpha=90.00 beta=109.33 gamma=90.00
Space group C2/m (No. 12)
Asymmetric unit:
Tl 0.244 0.000 0.234 (multiplicity 4)
I 0.000 0.000 0.500 (multiplicity 2)
Br 0.000 0.500 0.000 (multiplicity 2)

Properties
**Total magnetic moment**: 0.000 μB per formula unit
**Energy relative to the elements, uncorrected**: -762 meV/atom
**Crystal system**: monoclinic
**Calculated density**: 6.2 g cm⁻³
**Excess energy over the best structure of this formula in the dataset**: 0 meV per atom


(4)
# Tb3Zn8Au3

An optimized crystal structure of Tb3Zn8Au3 (PBE, the Alexandria database).

Unit cell a=4.313 b=9.194 c=13.189 alpha=90.00 beta=90.00 gamma=90.00
Space group Immm (No. 71)
Asymmetric unit:
Tb 0.000 0.000 0.000 (multiplicity 2)
Tb 0.000 0.000 0.314 (multiplicity 4)
Zn 0.000 0.275 0.133 (multiplicity 8)
Zn 0.000 0.364 0.323 (multiplicity 8)
Au 0.000 0.231 0.500 (multiplicity 4)
Au 0.000 0.500 0.000 (multiplicity 2)

Properties
**Total magnetic moment**: 0.000 μB per formula unit
**Crystal system**: orthorhombic
**Calculated density**: 10.1 g cm⁻³
**ΔE_f**: -598 kJ/mol of formula units
**Excess energy over the best structure of this formula in the dataset**: 32 meV per atom


(5)
# Ac3Nd3SmS8

An optimized crystal structure of Ac3Nd3SmS8 (PBE, the Alexandria database).

Unit cell a=8.2583 b=8.2583 c=20.8030 alpha=90.00 beta=90.00 gamma=120.00
Space group R-3m (No. 166, hexagonal axes)
Asymmetric unit:
Ac 0.0000 0.5000 0.0000 (multiplicity 9)
Nd 0.0000 0.5000 0.5000 (multiplicity 9)
Sm 0.0000 0.0000 0.5000 (multiplicity 3)
S 0.0000 0.0000 0.2451 (multiplicity 6)
S 0.0041 0.5020 0.2443 (multiplicity 18)

Properties
**Total magnetic moment**: 0.000 μB per formula unit
**Energy relative to the elements, uncorrected**: -2040 meV/atom
**Crystal system**: trigonal
**Calculated density**: 6.2 g cm⁻³


(6)
# NaPmTlAg

An optimized crystal structure of NaPmTlAg (PBE, the Alexandria database).

Unit cell a=7.442 b=7.442 c=7.442 alpha=90.00 beta=90.00 gamma=90.00
Space group F-43m (No. 216)
Asymmetric unit:
Na 0.000 0.000 0.000 (multiplicity 4)
Pm 0.000 0.000 0.500 (multiplicity 4)
Tl 0.250 0.250 0.250 (multiplicity 4)
Ag 0.250 0.250 0.750 (multiplicity 4)

Properties
**Total magnetic moment**: 0.000 μB per formula unit
**Crystal system**: cubic
**Calculated density**: 7.7 g cm⁻³
**ΔE_f**: -68 kJ/mol of formula units


(7)
# BaSrSe2

An optimized crystal structure of BaSrSe2 (PBE, the Alexandria database).

Unit cell a=3.915 b=3.916 c=7.848 alpha=90.00 beta=90.42 gamma=90.00
Space group P2/m (No. 10)
Asymmetric unit:
Ba 0.000 0.000 0.000 (multiplicity 1)
Sr 0.000 0.000 0.500 (multiplicity 1)
Se 0.498 0.500 0.739 (multiplicity 2)

Properties
**Total magnetic moment**: 0.000 μB per formula unit
**Energy relative to the elements, uncorrected**: -1815 meV/atom
**Crystal system**: monoclinic
**Calculated density**: 5.3 g cm⁻³
**Excess energy over the best structure of this formula in the dataset**: 236 meV per atom


(8)
# Sm4Ga16Pt3

An optimized crystal structure of Sm4Ga16Pt3 (PBE, the Alexandria database).

Unit cell a=6.270 b=6.270 c=11.192 alpha=90.00 beta=90.00 gamma=90.00
Space group P4/mmm (No. 123)
Asymmetric unit:
Sm 0.000 0.500 0.192 (multiplicity 4)
Ga 0.000 0.000 0.201 (multiplicity 2)
Ga 0.209 0.209 0.000 (multiplicity 4)
Ga 0.246 0.246 0.377 (multiplicity 8)
Ga 0.500 0.500 0.232 (multiplicity 2)
Pt 0.000 0.500 0.500 (multiplicity 2)
Pt 0.500 0.500 0.000 (multiplicity 1)

Properties
**Total magnetic moment**: 0.000 μB per formula unit
**Crystal system**: tetragonal
**Calculated density**: 8.7 g cm⁻³
**ΔE_f**: -1433 kJ/mol of formula units


Number 1: volume 30.6 Å³ per atom. Number 2: volume 22.6 Å³ per atom. Number 3: volume 41.4 Å³ per atom. Number 4: volume 18.7 Å³ per atom. Number 5: volume 27.3 Å³ per atom. Number 6: volume 25.8 Å³ per atom. Number 7: volume 30.1 Å³ per atom. Number 8: volume 19.1 Å³ per atom.